## Mg2AlSi (GGA-PBEsol)

Data for a geometry-optimized Mg2AlSi structure.

POSCAR file:
```
Mg2AlSi
1.0
3.023 0.121 0.000
-0.120 3.023 0.000
0.000 0.000 8.091
Mg Al Si
2 1 1
direct
0.000 0.000 0.016
0.500 0.500 0.722
0.500 0.500 0.278
0.000 0.000 0.484
```

The theoretical density is 2.33 Mg/m³. The calculation puts the calculated volume at 18.51 A^3/atom. The value obtained for the formation energy (no corrections) is 0.0762 eV/atom.